No. 1
## LaTlCuAg2 (PBE)

Data for a relaxed structure of LaTlCuAg2.

Values from the calculation:
As for the spin magnetization: 0.0 μB per formula unit. As for the space group: P4/mmm (123). The formation energy is 0.7 eV/f.u.

Cell: 5.0117 5.0117 5.2405 Å, 90.00 90.00 90.00°
Closest atoms and distances in Å follow each position.
Element x y z (fractional)
La 0.0000 0.0000 0.0000  2 Cu 2.62
Tl 0.5000 0.5000 0.0000  4 La 3.54, 8 Ag 3.63
Cu 0.0000 0.0000 0.5000  4 Ag 2.51, 2 La 2.62
Ag 0.0000 0.5000 0.5000  2 Cu 2.51
Ag 0.5000 0.0000 0.5000  2 Cu 2.51

---

No. 2
## TbNdSc2 (PBE)

Data for a relaxed structure of TbNdSc2.

Values from the calculation:
As for the spin magnetization: 0.0 μB per formula unit. As for the space group: R-3m (166). The formation energy is 0.3 eV/f.u. As for the excess energy over the best structure of this formula in the dataset: 0.010 eV per atom.

Cell: 11.1930 11.1930 11.1930 Å, 17.79 17.79 17.79°
Closest atoms and distances in Å follow each position.
Element x y z (fractional)
Tb 0.0000 0.0000 0.0000  6 Sc 3.38, 6 Tb 3.46
Nd 0.5000 0.5000 0.5000  6 Sc 3.43, 6 Nd 3.46
Sc 0.2509 0.2509 0.2509  3 Tb 3.38, 3 Nd 3.43, 6 Sc 3.46
Sc 0.7491 0.7491 0.7491  3 Tb 3.38, 3 Nd 3.43, 6 Sc 3.46

---

No. 3
## La3Cd2Ru (PBE)

Data for a relaxed structure of La3Cd2Ru.

Values from the calculation:
As for the spin magnetization: 0.0 μB per formula unit. As for the space group: C2/c (15). The formation energy is -1.9 eV/f.u.

Cell: 9.7169 9.7169 7.6215 Å, 113.05 113.05 32.44°
Closest atoms and distances in Å follow each position.
Element x y z (fractional)
La 0.0006 0.9994 0.7500  2 Ru 2.71-2.72
La 0.3700 0.3700 0.3703  2 Ru 2.92
La 0.3700 0.3700 0.8703  2 Ru 2.92
La 0.6300 0.6300 0.1297  2 Ru 2.92
La 0.6300 0.6300 0.6297  2 Ru 2.92
La 0.9994 0.0006 0.2500  2 Ru 2.71-2.72
Cd 0.2016 0.2015 0.4513  2 Cd 3.18, 7 La 3.43-3.53
Cd 0.2015 0.2016 0.9513  2 Cd 3.18, 7 La 3.43-3.53
Cd 0.7985 0.7984 0.0487  2 Cd 3.18, 7 La 3.43-3.53
Cd 0.7984 0.7985 0.5487  2 Cd 3.18, 7 La 3.43-3.53
Ru 0.4991 0.5009 0.2500  6 La 2.71-2.92
Ru 0.5009 0.4991 0.7500  6 La 2.71-2.92

---

No. 4
## ZnCr2Au (PBE)

Data for a relaxed structure of ZnCr2Au.

Values from the calculation:
As for the spin magnetization: 0.0 μB per formula unit. As for the space group: R-3m (166). The formation energy is 1.9 eV/f.u.

Cell: 9.0611 9.0611 9.0611 Å, 17.12 17.12 17.12°
Closest atoms and distances in Å follow each position.
Element x y z (fractional)
Zn 0.0000 0.0000 0.0000  6 Cr 2.67, 6 Zn 2.70
Cr 0.2525 0.2525 0.2525  3 Zn 2.67, 6 Cr 2.70, 3 Au 2.78
Cr 0.7475 0.7475 0.7475  3 Zn 2.67, 6 Cr 2.70, 3 Au 2.78
Au 0.5000 0.5000 0.5000  6 Au 2.70, 6 Cr 2.78

---

No. 5
## Al2TeCl (PBE)

Data for a relaxed structure of Al2TeCl.

Values from the calculation:
As for the spin magnetization: 0.0 μB per formula unit. As for the space group: Pmmm (47). As for the uncorrected formation energy: -0.071 eV/atom. As for the excess energy over the best structure of this formula in the dataset: 0.361 eV per atom.

Cell: 3.9777 4.0029 6.7433 Å, 90.00 90.00 90.00°
Closest atoms and distances in Å follow each position.
Element x y z (fractional)
Al 0.0000 0.0000 0.0000  4 Cl 2.82
Al 0.5000 0.0000 0.5000  4 Te 2.82
Te 0.0000 0.5000 0.5000  4 Al 2.82
Cl 0.5000 0.5000 0.0000  4 Al 2.82

---

No. 6
## Tb4Nd2Y7 (PBE)

Data for a relaxed structure of Tb4Nd2Y7.

Values from the calculation:
As for the spin magnetization: 0.0 μB per formula unit. As for the space group: C2/m (12). The formation energy is 1.7 eV/f.u.

Cell: 6.5166 6.5166 12.1952 Å, 96.77 96.77 121.44°
Closest atoms and distances in Å follow each position.
Element x y z (fractional)
Tb 0.2256 0.7744 0.0000  6 Tb 3.11-3.47, 2 Y 3.37
Tb 0.2528 0.2528 0.9653  3 Tb 3.06-3.11, 2 Y 3.40
Tb 0.7472 0.7472 0.0347  3 Tb 3.06-3.11, 2 Y 3.40
Tb 0.7744 0.2256 0.0000  6 Tb 3.11-3.47, 2 Y 3.37
Nd 0.3331 0.6669 0.5000  9 Y 3.53-3.79, 3 Nd 3.71-3.79
Nd 0.6669 0.3331 0.5000  9 Y 3.53-3.79, 3 Nd 3.71-3.79
Y 0.0000 0.0000 0.5000  6 Y 3.59-3.69, 6 Nd 3.71-3.79
Y 0.1014 0.4433 0.7392  2 Tb 3.37-3.40, 2 Nd 3.53-3.56, 6 Y 3.59-3.77
Y 0.2297 0.2297 0.2493  2 Tb 3.50-3.52, 2 Nd 3.66, 7 Y 3.69-3.77
Y 0.4433 0.1014 0.7392  2 Tb 3.37-3.40, 2 Nd 3.53-3.56, 6 Y 3.59-3.77
Y 0.5567 0.8986 0.2608  2 Tb 3.37-3.40, 2 Nd 3.53-3.56, 6 Y 3.59-3.77
Y 0.7703 0.7703 0.7507  2 Tb 3.50-3.52, 2 Nd 3.66, 7 Y 3.69-3.77
Y 0.8986 0.5567 0.2608  2 Tb 3.37-3.40, 2 Nd 3.53-3.56, 6 Y 3.59-3.77

---

Repeat the fifth record exactly.
## Al2TeCl (PBE)

Data for a relaxed structure of Al2TeCl.

Values from the calculation:
As for the spin magnetization: 0.0 μB per formula unit. As for the space group: Pmmm (47). As for the uncorrected formation energy: -0.071 eV/atom. As for the excess energy over the best structure of this formula in the dataset: 0.361 eV per atom.

Cell: 3.9777 4.0029 6.7433 Å, 90.00 90.00 90.00°
Closest atoms and distances in Å follow each position.
Element x y z (fractional)
Al 0.0000 0.0000 0.0000  4 Cl 2.82
Al 0.5000 0.0000 0.5000  4 Te 2.82
Te 0.0000 0.5000 0.5000  4 Al 2.82
Cl 0.5000 0.5000 0.0000  4 Al 2.82

---

Question: spin magnetization of number 1 (LaTlCuAg2)?
Answer: 0.0 μB per formula unit

---

Question: Number 4 is which compound?
Answer: ZnCr2Au